# 1
## AlSbS2 (PBE)

Data for AlSbS2 after structural relaxation.

Cell: 6.539 6.539 6.539 Å, 120.70 120.70 88.80°
Sites, in units of the cell vectors:
Al 0.000 0.000 0.000
Al 0.750 0.250 0.500
Sb 0.250 0.750 0.500
Sb 0.500 0.500 0.000
S 0.047 0.625 0.922
S 0.375 0.297 0.422
S 0.703 0.125 0.078
S 0.875 0.953 0.578

energy relative to the elements, uncorrected: -269 meV/atom
total energy: -34.39 eV per cell
space-group type: No. 122
energy above the most stable polymorph in this dataset: 420 meV per atom

---

# 2
## AlSbS2 (PBE)

Data for AlSbS2 after structural relaxation.

Cell: 8.763 3.427 14.388 Å, 90.00 90.00 90.00°
Sites, in units of the cell vectors:
Al 0.082 0.250 0.074
Al 0.418 0.750 0.574
Al 0.582 0.250 0.426
Al 0.918 0.750 0.926
Sb 0.019 0.750 0.410
Sb 0.481 0.250 0.910
Sb 0.519 0.750 0.090
Sb 0.981 0.250 0.590
S 0.108 0.250 0.914
S 0.240 0.750 0.133
S 0.260 0.250 0.633
S 0.392 0.750 0.414
S 0.608 0.250 0.586
S 0.740 0.750 0.367
S 0.760 0.250 0.867
S 0.892 0.750 0.086

energy relative to the elements, uncorrected: -612 meV/atom
total energy: -74.27 eV per cell
space-group type: No. 62
energy above the most stable polymorph in this dataset: 77 meV per atom

---

# 3
## AlSbS2 (PBE)

Data for AlSbS2 after structural relaxation.

Cell: 4.741 4.741 4.741 Å, 60.00 60.00 60.00°
Sites, in units of the cell vectors:
Al 0.000 0.000 0.000
Sb 0.500 0.500 0.500
S 0.250 0.250 0.250
S 0.750 0.750 0.750

energy relative to the elements, uncorrected: 80 meV/atom
total energy: -15.80 eV per cell
space-group type: No. 225
energy above the most stable polymorph in this dataset: 769 meV per atom

---

# 4
## AlSbS2 (PBE)

Data for AlSbS2 after structural relaxation.

Cell: 6.819 9.263 6.076 Å, 90.00 90.00 90.00°
Sites, in units of the cell vectors:
Al 0.014 0.118 0.000
Al 0.486 0.618 0.500
Al 0.514 0.382 0.000
Al 0.986 0.882 0.500
Sb 0.007 0.512 0.136
Sb 0.493 0.012 0.636
Sb 0.507 0.988 0.136
Sb 0.993 0.488 0.636
S 0.029 0.107 0.634
S 0.205 0.718 0.650
S 0.295 0.218 0.150
S 0.471 0.607 0.134
S 0.529 0.393 0.634
S 0.705 0.782 0.650
S 0.795 0.282 0.150
S 0.971 0.893 0.134

energy relative to the elements, uncorrected: -525 meV/atom
total energy: -72.88 eV per cell
space-group type: No. 33
energy above the most stable polymorph in this dataset: 163 meV per atom

---

# 5
## AlSbS2 (PBE)

Data for AlSbS2 after structural relaxation.

Cell: 7.715 7.715 14.297 Å, 95.57 95.57 86.86°
Sites, in units of the cell vectors:
Al 0.067 0.722 0.659
Al 0.242 0.437 0.831
Al 0.278 0.933 0.841
Al 0.437 0.242 0.331
Al 0.563 0.758 0.669
Al 0.722 0.067 0.159
Al 0.758 0.563 0.169
Al 0.933 0.278 0.341
Sb 0.105 0.156 0.081
Sb 0.156 0.105 0.581
Sb 0.261 0.455 0.201
Sb 0.455 0.261 0.701
Sb 0.545 0.739 0.299
Sb 0.739 0.545 0.799
Sb 0.844 0.895 0.419
Sb 0.895 0.844 0.919
S 0.003 0.454 0.717
S 0.023 0.977 0.750
S 0.202 0.716 0.945
S 0.217 0.265 0.433
S 0.265 0.217 0.933
S 0.284 0.798 0.555
S 0.344 0.656 0.750
S 0.454 0.003 0.217
S 0.546 0.997 0.783
S 0.656 0.344 0.250
S 0.716 0.202 0.445
S 0.735 0.783 0.067
S 0.783 0.735 0.567
S 0.798 0.284 0.055
S 0.977 0.023 0.250
S 0.997 0.546 0.283

energy relative to the elements, uncorrected: -485 meV/atom
total energy: -144.48 eV per cell
space-group type: No. 15
energy above the most stable polymorph in this dataset: 204 meV per atom

---

# 6
## AlSb2S (PBE)

Data for AlSb2S after structural relaxation.

Cell: 8.385 8.385 8.385 Å, 139.98 139.98 57.88°
Sites, in units of the cell vectors:
Al 0.000 0.000 0.000
Al 0.750 0.250 0.500
Sb 0.135 0.625 0.010
Sb 0.375 0.385 0.510
Sb 0.615 0.125 0.990
Sb 0.875 0.865 0.490
S 0.250 0.750 0.500
S 0.500 0.500 0.000

energy relative to the elements, uncorrected: 226 meV/atom
total energy: -30.42 eV per cell
space-group type: No. 122
energy above the most stable polymorph in this dataset: 0 meV per atom

---

# 7
## AlSbS2 (PBE)

Data for AlSbS2 after structural relaxation.

Cell: 6.762 6.762 6.762 Å, 137.98 79.96 115.57°
Sites, in units of the cell vectors:
Al 0.141 0.250 0.391
Al 0.859 0.750 0.609
Sb 0.296 0.633 0.162
Sb 0.471 0.133 0.838
S 0.121 0.781 0.840
S 0.509 0.441 0.568
S 0.873 0.941 0.432
S 0.941 0.281 0.160

energy relative to the elements, uncorrected: -519 meV/atom
total energy: -36.39 eV per cell
space-group type: No. 46
energy above the most stable polymorph in this dataset: 169 meV per atom

---

# 8
## AlSb3S (PBE)

Data for AlSb3S after structural relaxation.

Cell: 5.216 5.216 5.216 Å, 90.00 90.00 90.00°
Sites, in units of the cell vectors:
Al 0.000 0.000 0.000
Sb 0.000 0.500 0.500
Sb 0.500 0.000 0.500
Sb 0.500 0.500 0.000
S 0.500 0.500 0.500

energy relative to the elements, uncorrected: 615 meV/atom
total energy: -17.16 eV per cell
space-group type: No. 221
energy above the most stable polymorph in this dataset: 0 meV per atom